1.
TlCo2Se2 (PBE-GGA, optimized geometry); crystal system = tetragonal; energy above the most stable polymorph in this dataset = 0.0 meV per atom
1.0
7.327 0.020 0.000
5.283 5.077 0.000
-6.305 -2.548 2.727
Co Se Tl
2 2 1
Direct
0.250 0.750 0.500
0.750 0.250 0.500
0.348 0.348 0.000
0.652 0.652 0.000
0.000 0.000 0.000



2.
UTl2CoSe4 (PBE-GGA, optimized geometry); crystal system = orthorhombic
1.0
-1.251 -2.965 -5.501
5.581 -2.727 -3.492
-2.024 -12.028 3.251
U Tl Co Se
2 4 2 8
Direct
0.750 0.500 0.500
0.000 0.000 0.000
0.189 0.000 0.623
0.811 0.000 0.377
0.561 0.500 0.877
0.939 0.500 0.123
0.250 0.500 0.500
0.500 0.000 0.000
0.342 0.781 0.110
0.233 0.219 0.890
0.877 0.781 0.890
0.548 0.219 0.110
0.408 0.719 0.390
0.517 0.281 0.610
0.873 0.719 0.610
0.202 0.281 0.390



3.
UTlCoSe4 (PBE-GGA, optimized geometry); crystal system = monoclinic
1.0
-0.453 5.239 -4.402
-4.835 -2.284 -2.220
-4.697 2.581 7.575
U Tl Co Se
2 2 2 8
Direct
0.735 0.750 0.450
0.265 0.250 0.550
0.741 0.750 0.953
0.259 0.250 0.047
0.254 0.750 0.347
0.746 0.250 0.653
0.018 0.507 0.706
0.982 0.007 0.294
0.982 0.493 0.294
0.018 0.993 0.706
0.447 0.750 0.173
0.553 0.250 0.827
0.429 0.750 0.598
0.571 0.250 0.402



4.
Tl2V2CoSe6 (PBE-GGA, optimized geometry); crystal system = monoclinic
1.0
6.272 -0.108 -0.070
-3.194 5.399 -0.070
-1.249 -2.147 7.834
Tl V Co Se
2 2 1 6
Direct
0.839 0.161 0.000
0.161 0.839 0.000
0.312 0.688 0.500
0.688 0.312 0.500
0.000 0.000 0.500
0.742 0.742 0.666
0.092 0.399 0.686
0.258 0.258 0.334
0.399 0.092 0.686
0.908 0.601 0.314
0.601 0.908 0.314



5.
TlVCoSe3 (PBE-GGA, optimized geometry); crystal system = monoclinic
1.0
-1.478 2.679 -1.850
-7.370 -3.700 0.531
2.436 6.443 7.384
Tl V Co Se
2 2 2 6
Direct
0.250 0.294 0.280
0.750 0.706 0.720
0.250 0.711 0.178
0.750 0.289 0.822
0.250 0.082 0.606
0.750 0.918 0.394
0.750 0.910 0.159
0.250 0.090 0.841
0.250 0.762 0.437
0.750 0.238 0.563
0.750 0.457 0.113
0.250 0.543 0.887



6.
TlZn2CoSe (PBE-GGA, optimized geometry); crystal system = tetragonal
1.0
-2.283 -3.118 2.821
1.234 -3.418 -2.779
4.002 -0.626 2.547
Tl Co Zn Se
1 1 2 1
Direct
0.500 0.500 0.500
0.000 0.000 0.000
0.000 0.000 0.500
0.500 0.000 0.000
0.000 0.500 0.000



7.
Zr3Tl3CoSe8 (PBE-GGA, optimized geometry); crystal system = trigonal
1.0
-5.196 -4.764 -2.983
7.415 -1.901 -0.059
-4.059 -0.671 8.142
Zr Tl Co Se
3 3 1 8
Direct
0.500 0.000 0.500
0.500 0.500 0.500
0.000 0.500 0.500
0.000 0.000 0.000
0.000 0.500 0.000
0.500 0.500 0.000
0.000 0.000 0.500
0.266 0.532 0.298
0.734 0.468 0.702
0.775 0.550 0.310
0.225 0.450 0.690
0.775 0.035 0.310
0.225 0.965 0.690
0.260 0.035 0.310
0.740 0.965 0.690



8.
Zr2Tl3CoSe6 (PBE-GGA, optimized geometry); crystal system = monoclinic
1.0
-0.400 4.946 -4.457
-1.633 -6.223 -1.759
-6.787 1.774 4.244
Zr Tl Co Se
2 3 1 6
Direct
0.334 0.666 0.000
0.666 0.334 0.000
0.173 0.827 0.500
0.827 0.173 0.500
0.500 0.500 0.500
0.000 0.000 0.000
0.937 0.615 0.808
0.742 0.742 0.195
0.063 0.385 0.192
0.615 0.937 0.808
0.258 0.258 0.805
0.385 0.063 0.192



9.
TmCoSe2 (PBE-GGA, optimized geometry); crystal system = trigonal
1.0
-2.696 -1.078 -2.153
-1.380 -3.321 0.357
-6.683 1.313 4.678
Tm Co Se
1 1 2
Direct
0.000 0.000 0.000
0.500 0.500 0.500
0.116 0.116 0.651
0.884 0.884 0.349



10.
Tm3CoSe (PBE-GGA, optimized geometry); crystal system = monoclinic
1.0
3.751 0.000 0.000
0.000 7.716 -2.643
0.000 0.118 7.876
Tm Co Se
6 2 2
Direct
0.250 0.602 0.324
0.750 0.398 0.676
0.250 0.057 0.692
0.750 0.243 0.068
0.750 0.943 0.308
0.250 0.757 0.932
0.750 0.585 0.065
0.250 0.415 0.935
0.750 0.748 0.622
0.250 0.252 0.378



no.,uncorrected energy (eV per atom),ΔE_f (raw) (eV per atom)
1,-4.93,-0.226
2,-5.02,-0.385
3,-5.60,-0.644
4,-5.12,-0.488
5,-5.34,-0.499
6,-3.00,0.105
7,-5.37,-0.854
8,-5.10,-0.753
9,-5.02,-0.380
10,-5.58,-0.779